Here is a crystal of SrTcBr2 relaxed with PBEsol from Alexandria via LeMat-Bulk. Energies are from meta-GGA SCAN.

**N(E_F)**: 4.1 states/eV/cell
**Total magnetization**: 12.1 μB per cell
**V**: 22.52 Å³ per atom
**Total energy**: -24.45 eV/atom

a = 7.116 Å, b = 7.116 Å, c = 7.116 Å
α = 90.00°, β = 90.00°, γ = 90.00°
Atoms (fractional coordinates):
Sr 0.000 0.000 0.000
Sr 0.000 0.500 0.500
Sr 0.500 0.000 0.500
Sr 0.500 0.500 0.000
Tc 0.000 0.000 0.500
Tc 0.000 0.500 0.000
Tc 0.500 0.000 0.000
Tc 0.500 0.500 0.500
Br 0.250 0.250 0.250
Br 0.250 0.250 0.750
Br 0.250 0.750 0.250
Br 0.250 0.750 0.750
Br 0.750 0.250 0.250
Br 0.750 0.250 0.750
Br 0.750 0.750 0.250
Br 0.750 0.750 0.750



Here is a crystal of Ba2MgAu2 relaxed with PBEsol from Alexandria via LeMat-Bulk. Energies are from meta-GGA SCAN.

**ΔH_f (0 K)**: -0.690 eV/atom
**N(E_F)**: 6.1 states/eV/cell
**Total magnetization**: 0.0 μB per cell
**V**: 30.47 Å³ per atom
**Total energy**: -45.17 eV/atom

a = 8.178 Å, b = 8.178 Å, c = 4.557 Å
α = 90.00°, β = 90.00°, γ = 90.00°
Atoms (fractional coordinates):
Ba 0.172 0.328 0.000
Ba 0.328 0.828 0.000
Ba 0.672 0.172 0.000
Ba 0.828 0.672 0.000
Mg 0.000 0.000 0.500
Mg 0.500 0.500 0.500
Au 0.129 0.629 0.500
Au 0.371 0.129 0.500
Au 0.629 0.871 0.500
Au 0.871 0.371 0.500